LaPr4In5 | GGA-PBE | optimized geometry

abc: 3.918 3.918 19.540
angles: 90.00 90.00 90.00
Element x y z (fractional)
La  0.000  0.000  0.000
Pr  0.000  0.000  0.202
Pr  0.000  0.000  0.401
Pr  0.000  0.000  0.599
Pr  0.000  0.000  0.798
In  0.500  0.500  0.103
In  0.500  0.500  0.301
In  0.500  0.500  0.500
In  0.500  0.500  0.699
In  0.500  0.500  0.897

Values from the calculation:
DOS(E_F)   5.7 states/eV per cell
Magnetic moment   0.0 μB/cell
Final energy   -4.27 eV/atom
Symmetry   P4/mmm, No. 123
DFT formation energy   -0.50 eV/atom